# 1
Compound: Tc3SnAs
Source: Alexandria via LeMat-Bulk
Functional: meta-GGA SCAN
Structure: single point on PBEsol structure

Geometry as CIF:
```
data_Tc3SnAs
_chemical_formula_sum 'Tc3 Sn1 As1'
_cell_length_a 4.5008
_cell_length_b 4.5008
_cell_length_c 4.5008
_cell_angle_alpha 90.00
_cell_angle_beta 90.00
_cell_angle_gamma 90.00
_space_group_name_H-M_alt 'P m -3 m'
_space_group_IT_number 221
_space_group_name_Hall '-P 4 2 3'
loop_
_atom_site_label
_atom_site_type_symbol
_atom_site_fract_x
_atom_site_fract_y
_atom_site_fract_z
_atom_site_occupancy
Tc1 Tc 0.0000 0.0000 0.5000 1
Sn1 Sn 0.5000 0.5000 0.5000 1
As1 As 0.0000 0.0000 0.0000 1
```

crystal system = cubic
final energy = -157.05 eV for the cell shown
formation enthalpy at 0 K = 0.8487 eV/atom


# 2
Compound: Nb3HCl
Source: Alexandria via LeMat-Bulk
Functional: meta-GGA SCAN
Structure: single point on PBEsol structure

Geometry as CIF:
```
data_Nb3HCl
_chemical_formula_sum 'Nb3 H1 Cl1'
_cell_length_a 4.5021
_cell_length_b 4.5021
_cell_length_c 4.5021
_cell_angle_alpha 90.00
_cell_angle_beta 90.00
_cell_angle_gamma 90.00
_space_group_name_H-M_alt 'P m -3 m'
_space_group_IT_number 221
_space_group_name_Hall '-P 4 2 3'
loop_
_atom_site_label
_atom_site_type_symbol
_atom_site_fract_x
_atom_site_fract_y
_atom_site_fract_z
_atom_site_occupancy
Nb1 Nb 0.0000 0.0000 0.5000 1
H1 H 0.5000 0.5000 0.5000 1
Cl1 Cl 0.0000 0.0000 0.0000 1
```

crystal system = cubic
final energy = -103.31 eV for the cell shown


# 3
Compound: Cu2SeI
Source: Alexandria via LeMat-Bulk
Functional: meta-GGA SCAN
Structure: single point on PBEsol structure

Geometry as CIF:
```
data_Cu2SeI
_chemical_formula_sum 'Cu8 Se4 I4'
_cell_length_a 5.6661
_cell_length_b 5.6661
_cell_length_c 11.3038
_cell_angle_alpha 90.00
_cell_angle_beta 90.00
_cell_angle_gamma 90.00
_space_group_name_H-M_alt 'I -4 2 d'
_space_group_IT_number 122
_space_group_name_Hall 'I -4 2bw'
loop_
_atom_site_label
_atom_site_type_symbol
_atom_site_fract_x
_atom_site_fract_y
_atom_site_fract_z
_atom_site_occupancy
Cu1 Cu 0.2092 0.2500 0.1250 1
Se1 Se 0.0000 0.0000 0.0000 1
I1 I 0.0000 0.0000 0.5000 1
```

crystal system = tetragonal
ΔE_f (raw) = -0.135 eV/atom
final energy = -351.03 eV for the cell shown


# 4
Compound: KHg2BiC
Source: Alexandria via LeMat-Bulk
Functional: meta-GGA SCAN
Structure: single point on PBEsol structure

Geometry as CIF:
```
data_KHg2BiC
_chemical_formula_sum 'K1 Hg2 Bi1 C1'
_cell_length_a 6.0665
_cell_length_b 6.0665
_cell_length_c 4.4461
_cell_angle_alpha 90.00
_cell_angle_beta 90.00
_cell_angle_gamma 90.00
_space_group_name_H-M_alt 'P 4/m m m'
_space_group_IT_number 123
_space_group_name_Hall '-P 4 2'
loop_
_atom_site_label
_atom_site_type_symbol
_atom_site_fract_x
_atom_site_fract_y
_atom_site_fract_z
_atom_site_occupancy
K1 K 0.0000 0.0000 0.0000 1
Hg1 Hg 0.0000 0.5000 0.5000 1
Bi1 Bi 0.5000 0.5000 0.5000 1
C1 C 0.5000 0.5000 0.0000 1
```

crystal system = tetragonal
final energy = -228.68 eV for the cell shown
formation enthalpy at 0 K = 0.9321 eV/atom


# 5
Compound: KTlTc3
Source: Alexandria via LeMat-Bulk
Functional: meta-GGA SCAN
Structure: single point on PBEsol structure

Geometry as CIF:
```
data_KTlTc3
_chemical_formula_sum 'K1 Tl1 Tc3'
_cell_length_a 5.1705
_cell_length_b 5.1705
_cell_length_c 5.1705
_cell_angle_alpha 90.00
_cell_angle_beta 90.00
_cell_angle_gamma 90.00
_space_group_name_H-M_alt 'P m -3 m'
_space_group_IT_number 221
_space_group_name_Hall '-P 4 2 3'
loop_
_atom_site_label
_atom_site_type_symbol
_atom_site_fract_x
_atom_site_fract_y
_atom_site_fract_z
_atom_site_occupancy
K1 K 0.0000 0.0000 0.0000 1
Tl1 Tl 0.5000 0.5000 0.5000 1
Tc1 Tc 0.0000 0.5000 0.5000 1
```

crystal system = cubic
final energy = -174.60 eV for the cell shown
formation enthalpy at 0 K = 2.2540 eV/atom


# 6
Compound: LiCu2C2O6
Source: Alexandria via LeMat-Bulk
Functional: meta-GGA SCAN
Structure: single point on PBEsol structure

Geometry as CIF:
```
data_LiCu2C2O6
_chemical_formula_sum 'Li1 Cu2 C2 O6'
_cell_length_a 4.3547
_cell_length_b 4.8137
_cell_length_c 6.5281
_cell_angle_alpha 88.40
_cell_angle_beta 77.12
_cell_angle_gamma 63.63
_space_group_name_H-M_alt 'P 1'
_space_group_IT_number 1
loop_
_space_group_symop_operation_xyz
'x,y,z'
loop_
_atom_site_label
_atom_site_type_symbol
_atom_site_fract_x
_atom_site_fract_y
_atom_site_fract_z
_atom_site_occupancy
Li1 Li 0.0000 0.0000 0.0000 1
Cu1 Cu 0.0737 0.8939 0.5491 1
Cu2 Cu 0.3254 0.2152 0.3984 1
C1 C 0.7037 0.6099 0.2253 1
C2 C 0.7082 0.4876 0.7356 1
O1 O 0.4281 0.5877 0.3442 1
O2 O 0.4465 0.7180 0.8375 1
O3 O 0.6952 0.8839 0.2206 1
O4 O 0.7502 0.2032 0.7557 1
O5 O 0.9573 0.5263 0.5970 1
O6 O 0.9634 0.3730 0.1263 1
```

crystal system = triclinic
ΔE_f (raw) = -1.318 eV/atom
final energy = -104.88 eV for the cell shown


# 7
Compound: ScAg2
Source: Alexandria via LeMat-Bulk
Functional: meta-GGA SCAN
Structure: single point on PBEsol structure

Geometry as CIF:
```
data_ScAg2
_chemical_formula_sum 'Sc4 Ag8'
_cell_length_a 3.5772
_cell_length_b 13.4540
_cell_length_c 4.5257
_cell_angle_alpha 90.00
_cell_angle_beta 90.00
_cell_angle_gamma 90.00
_space_group_name_H-M_alt 'C m c m'
_space_group_IT_number 63
_space_group_name_Hall '-C 2c 2'
loop_
_atom_site_label
_atom_site_type_symbol
_atom_site_fract_x
_atom_site_fract_y
_atom_site_fract_z
_atom_site_occupancy
Sc1 Sc 0.0000 0.0939 0.2500 1
Ag1 Ag 0.0000 0.2372 0.7500 1
Ag2 Ag 0.0000 0.4280 0.2500 1
```

crystal system = orthorhombic
final energy = -310.92 eV for the cell shown
formation enthalpy at 0 K = -0.2526 eV/atom


# 8
Compound: Ce2In8Co
Source: Alexandria via LeMat-Bulk
Functional: meta-GGA SCAN
Structure: single point on PBEsol structure

Geometry as CIF:
```
data_Ce2In8Co
_chemical_formula_sum 'Ce2 In8 Co1'
_cell_length_a 4.5665
_cell_length_b 4.5665
_cell_length_c 12.0238
_cell_angle_alpha 90.00
_cell_angle_beta 90.00
_cell_angle_gamma 90.00
_space_group_name_H-M_alt 'P 4/m m m'
_space_group_IT_number 123
_space_group_name_Hall '-P 4 2'
loop_
_atom_site_label
_atom_site_type_symbol
_atom_site_fract_x
_atom_site_fract_y
_atom_site_fract_z
_atom_site_occupancy
Ce1 Ce 0.0000 0.0000 0.1946 1
In1 In 0.0000 0.5000 0.0000 1
In2 In 0.0000 0.5000 0.3817 1
In3 In 0.5000 0.5000 0.1925 1
Co1 Co 0.0000 0.0000 0.5000 1
```

crystal system = tetragonal
final energy = -377.71 eV for the cell shown
formation enthalpy at 0 K = -0.3810 eV/atom


# 9
Compound: ZnBiN3
Source: Alexandria via LeMat-Bulk
Functional: meta-GGA SCAN
Structure: single point on PBEsol structure

Geometry as CIF:
```
data_ZnBiN3
_chemical_formula_sum 'Zn1 Bi1 N3'
_cell_length_a 3.9245
_cell_length_b 3.9245
_cell_length_c 3.9245
_cell_angle_alpha 90.00
_cell_angle_beta 90.00
_cell_angle_gamma 90.00
_space_group_name_H-M_alt 'P m -3 m'
_space_group_IT_number 221
_space_group_name_Hall '-P 4 2 3'
loop_
_atom_site_label
_atom_site_type_symbol
_atom_site_fract_x
_atom_site_fract_y
_atom_site_fract_z
_atom_site_occupancy
Zn1 Zn 0.0000 0.0000 0.0000 1
Bi1 Bi 0.5000 0.5000 0.5000 1
N1 N 0.0000 0.0000 0.5000 1
```

crystal system = cubic
ΔE_f (raw) = 1.594 eV/atom
final energy = -112.00 eV for the cell shown


# 10
Compound: MgAl2AuS
Source: Alexandria via LeMat-Bulk
Functional: meta-GGA SCAN
Structure: single point on PBEsol structure

Geometry as CIF:
```
data_MgAl2AuS
_chemical_formula_sum 'Mg1 Al2 Au1 S1'
_cell_length_a 4.6452
_cell_length_b 4.6452
_cell_length_c 4.5377
_cell_angle_alpha 90.00
_cell_angle_beta 90.00
_cell_angle_gamma 90.00
_space_group_name_H-M_alt 'P 4/m m m'
_space_group_IT_number 123
_space_group_name_Hall '-P 4 2'
loop_
_atom_site_label
_atom_site_type_symbol
_atom_site_fract_x
_atom_site_fract_y
_atom_site_fract_z
_atom_site_occupancy
Mg1 Mg 0.0000 0.0000 0.0000 1
Al1 Al 0.0000 0.5000 0.5000 1
Au1 Au 0.5000 0.5000 0.0000 1
S1 S 0.0000 0.0000 0.5000 1
```

crystal system = tetragonal
ΔE_f (raw) = 0.132 eV/atom
final energy = -98.60 eV for the cell shown


# 11
Compound: Sc2ICl2
Source: Alexandria via LeMat-Bulk
Functional: meta-GGA SCAN
Structure: single point on PBEsol structure

Geometry as CIF:
```
data_Sc2ICl2
_chemical_formula_sum 'Sc4 I2 Cl4'
_cell_length_a 4.7180
_cell_length_b 4.7180
_cell_length_c 9.9225
_cell_angle_alpha 90.00
_cell_angle_beta 90.00
_cell_angle_gamma 90.00
_space_group_name_H-M_alt 'I 4/m m m'
_space_group_IT_number 139
_space_group_name_Hall '-I 4 2'
loop_
_atom_site_label
_atom_site_type_symbol
_atom_site_fract_x
_atom_site_fract_y
_atom_site_fract_z
_atom_site_occupancy
Sc1 Sc 0.0000 0.5000 0.2500 1
I1 I 0.0000 0.0000 0.0000 1
Cl1 Cl 0.0000 0.0000 0.3447 1
```

crystal system = tetragonal
ΔE_f (raw) = -1.235 eV/atom
final energy = -174.69 eV for the cell shown


# 12
Compound: BaSiTcRh2
Source: Alexandria via LeMat-Bulk
Functional: meta-GGA SCAN
Structure: single point on PBEsol structure

Geometry as CIF:
```
data_BaSiTcRh2
_chemical_formula_sum 'Ba1 Si1 Tc1 Rh2'
_cell_length_a 4.5638
_cell_length_b 4.5638
_cell_length_c 4.6033
_cell_angle_alpha 90.00
_cell_angle_beta 90.00
_cell_angle_gamma 90.00
_space_group_name_H-M_alt 'P 4/m m m'
_space_group_IT_number 123
_space_group_name_Hall '-P 4 2'
loop_
_atom_site_label
_atom_site_type_symbol
_atom_site_fract_x
_atom_site_fract_y
_atom_site_fract_z
_atom_site_occupancy
Ba1 Ba 0.0000 0.0000 0.0000 1
Si1 Si 0.5000 0.5000 0.5000 1
Tc1 Tc 0.5000 0.5000 0.0000 1
Rh1 Rh 0.0000 0.5000 0.5000 1
```

crystal system = tetragonal
ΔE_f (raw) = 0.109 eV/atom
final energy = -151.63 eV for the cell shown